Here is a relaxed structure of CoAsPdO from OQMD via LeMat-Bulk. Energies are from PBE with a Hubbard U.

Cell: 4.277 5.369 5.310 Å, 90.00 90.00 90.00°
Fractional positions:
Co  0.000  0.156  0.000
Co  0.000  0.844  0.500
As  0.500  0.333  0.858
As  0.500  0.667  0.358
Pd  0.500  0.194  0.401
Pd  0.500  0.806  0.901
O  0.000  0.178  0.363
O  0.000  0.822  0.863

## Properties
**Energy above the lowest structure with this stoichiometry**: 195 meV per atom
**Total magnetization**: 0.596 μB per atom
**Calculated volume**: 122 Å³/cell
**Uncorrected energy**: -41.53 eV for the cell shown
**Crystal system**: orthorhombic